Record 1
DFT (PBEsol) results for an optimized crystal structure of NiGeAsF2.

a b c (Å): 3.9554 3.9554 4.7322
angles (deg): 90.00 90.00 90.00
Fractional coordinates of all 5 atoms:
Ni 0.0000 0.0000 0.0000
Ge 0.5000 0.5000 0.0000
As 0.0000 0.0000 0.5000
F 0.0000 0.5000 0.5000
F 0.5000 0.0000 0.5000

Its crystal system is tetragonal. The formation energy from raw total energies comes out at -3.19 eV per formula unit. The calculation puts the density of states at the Fermi level at 1.557 states/eV per cell. Its magnetization is 0.000 μB per atom.

Record 2
DFT (PBEsol) results for an optimized crystal structure of AsH2F.

a b c (Å): 3.5652 3.5652 3.5652
angles (deg): 60.00 60.00 60.00
Fractional coordinates of all 4 atoms:
As 0.0000 0.0000 0.0000
H 0.2500 0.2500 0.2500
H 0.7500 0.7500 0.7500
F 0.5000 0.5000 0.5000

Its crystal system is cubic. The calculation puts the total energy at -3.1233 eV per atom. The calculation puts the density of states at the Fermi level at 0.418 states/eV per cell. Its magnetization is 0.000 μB per atom.

Record 3
DFT (PBEsol) results for an optimized crystal structure of HgAs2H2F14.

a b c (Å): 4.9573 6.8129 7.7626
angles (deg): 86.99 77.04 77.29
Fractional coordinates of all 19 atoms:
Hg 0.0000 0.0000 0.0000
As 0.3699 0.2830 0.2621
As 0.6301 0.7170 0.7379
H 0.0376 0.3794 0.8278
H 0.9624 0.6206 0.1722
F 0.0832 0.4175 0.1604
F 0.1374 0.2767 0.4611
F 0.1477 0.2351 0.8199
F 0.2874 0.0581 0.1949
F 0.3392 0.8631 0.6679
F 0.4048 0.7212 0.9565
F 0.4437 0.5095 0.3026
F 0.5563 0.4905 0.6974
F 0.5952 0.2788 0.0435
F 0.6608 0.1369 0.3321
F 0.7126 0.9419 0.8051
F 0.8523 0.7649 0.1801
F 0.8626 0.7233 0.5389
F 0.9168 0.5825 0.8396

Its crystal system is triclinic. The calculation puts the total energy at -4.2400 eV per atom. The calculation puts the density of states at the Fermi level at 0.000 states/eV per cell. Its magnetization is 0.000 μB per atom.

Record 4
DFT (PBEsol) results for an optimized crystal structure of LiAsH6O3F6.

a b c (Å): 8.3370 8.3370 5.4165
angles (deg): 90.00 90.00 120.00
Fractional coordinates of all 34 atoms:
Li 0.0000 0.0000 0.0000
Li 0.0000 0.0000 0.5000
As 0.3333 0.6667 0.0928
As 0.6667 0.3333 0.5928
H 0.0582 0.3033 0.7603
H 0.0582 0.7549 0.7603
H 0.2451 0.3033 0.7603
H 0.2451 0.9418 0.7603
H 0.3033 0.0582 0.2603
H 0.3033 0.2451 0.2603
H 0.6967 0.7549 0.7603
H 0.6967 0.9418 0.7603
H 0.7549 0.0582 0.2603
H 0.7549 0.6967 0.2603
H 0.9418 0.2451 0.2603
H 0.9418 0.6967 0.2603
O 0.1107 0.2214 0.7489
O 0.1107 0.8893 0.7489
O 0.2214 0.1107 0.2489
O 0.7786 0.8893 0.7489
O 0.8893 0.1107 0.2489
O 0.8893 0.7786 0.2489
F 0.1339 0.5669 0.9032
F 0.2333 0.4665 0.2775
F 0.2333 0.7667 0.2775
F 0.4331 0.5669 0.9032
F 0.4331 0.8661 0.9032
F 0.4665 0.2333 0.7775
F 0.5335 0.7667 0.2775
F 0.5669 0.1339 0.4032
F 0.5669 0.4331 0.4032
F 0.7667 0.2333 0.7775
F 0.7667 0.5335 0.7775
F 0.8661 0.4331 0.4032

Its crystal system is hexagonal. The calculation puts the total energy at -4.8710 eV per atom. The calculation puts the density of states at the Fermi level at 0.000 states/eV per cell. Its magnetization is 0.000 μB per atom.

Record 5
DFT (PBEsol) results for an optimized crystal structure of TlAsH2F10.

a b c (Å): 5.6207 5.7997 21.5997
angles (deg): 90.00 98.04 90.00
Fractional coordinates of all 56 atoms:
Tl 0.2383 0.1109 0.2281
Tl 0.2383 0.3891 0.7281
Tl 0.7617 0.6109 0.2719
Tl 0.7617 0.8891 0.7719
As 0.4542 0.7419 0.1004
As 0.4542 0.7581 0.6004
As 0.5458 0.2419 0.3996
As 0.5458 0.2581 0.8996
H 0.0285 0.7269 0.3988
H 0.0285 0.7731 0.8988
H 0.1154 0.7330 0.9892
H 0.1154 0.7670 0.4892
H 0.8846 0.2330 0.5108
H 0.8846 0.2670 0.0108
H 0.9715 0.2269 0.1012
H 0.9715 0.2731 0.6012
F 0.0314 0.6336 0.3575
F 0.0314 0.8664 0.8575
F 0.0382 0.6563 0.9496
F 0.0382 0.8437 0.4496
F 0.0616 0.0681 0.7455
F 0.0616 0.4319 0.2455
F 0.2061 0.6573 0.5446
F 0.2061 0.8427 0.0446
F 0.2474 0.6358 0.1465
F 0.2474 0.8642 0.6465
F 0.3030 0.1586 0.3419
F 0.3030 0.3414 0.8419
F 0.3474 0.1338 0.9438
F 0.3474 0.3662 0.4438
F 0.4390 0.0135 0.1406
F 0.4390 0.4865 0.6406
F 0.4442 0.6858 0.7653
F 0.4442 0.8142 0.2653
F 0.4593 0.0198 0.5622
F 0.4593 0.4802 0.0622
F 0.5407 0.5198 0.9378
F 0.5407 0.9802 0.4378
F 0.5558 0.1858 0.7347
F 0.5558 0.3142 0.2347
F 0.5610 0.5135 0.3594
F 0.5610 0.9865 0.8594
F 0.6526 0.6338 0.5562
F 0.6526 0.8662 0.0562
F 0.6970 0.6586 0.1581
F 0.6970 0.8414 0.6581
F 0.7526 0.1358 0.3535
F 0.7526 0.3642 0.8535
F 0.7939 0.1573 0.9554
F 0.7939 0.3427 0.4554
F 0.9384 0.5681 0.7545
F 0.9384 0.9319 0.2545
F 0.9618 0.1563 0.5504
F 0.9618 0.3437 0.0504
F 0.9686 0.1336 0.1425
F 0.9686 0.3664 0.6425

Its crystal system is monoclinic. The calculation puts the total energy at -4.2825 eV per atom. The calculation puts the density of states at the Fermi level at 0.000 states/eV per cell. Its magnetization is 0.006 μB per atom.

Record 6
DFT (PBEsol) results for an optimized crystal structure of KHfAsF2.

a b c (Å): 4.7421 4.7421 5.1232
angles (deg): 90.00 90.00 90.00
Fractional coordinates of all 5 atoms:
K 0.0000 0.0000 0.0000
Hf 0.5000 0.5000 0.0000
As 0.5000 0.5000 0.5000
F 0.0000 0.5000 0.5000
F 0.5000 0.0000 0.5000

Its crystal system is tetragonal. The formation energy from raw total energies comes out at -1.98 eV per formula unit. The calculation puts the density of states at the Fermi level at 3.809 states/eV per cell. Its magnetization is 0.010 μB per atom.

Record 7
DFT (PBEsol) results for an optimized crystal structure of HfMoAs2F.

a b c (Å): 4.6852 4.6852 3.8479
angles (deg): 90.00 90.00 90.00
Fractional coordinates of all 5 atoms:
Hf 0.0000 0.0000 0.0000
Mo 0.5000 0.5000 0.0000
As 0.0000 0.5000 0.5000
As 0.5000 0.0000 0.5000
F 0.0000 0.0000 0.5000

Its crystal system is tetragonal. The formation energy from raw total energies comes out at 0.15 eV per formula unit. The calculation puts the density of states at the Fermi level at 4.328 states/eV per cell. Its magnetization is 0.000 μB per atom.

Record 8
DFT (PBEsol) results for an optimized crystal structure of HfAsNF2.

a b c (Å): 4.0504 4.0504 4.3006
angles (deg): 90.00 90.00 90.00
Fractional coordinates of all 5 atoms:
Hf 0.0000 0.0000 0.0000
As 0.5000 0.5000 0.5000
N 0.0000 0.0000 0.5000
F 0.0000 0.5000 0.0000
F 0.5000 0.0000 0.0000

Its crystal system is tetragonal. The formation energy from raw total energies comes out at -7.22 eV per formula unit. The calculation puts the density of states at the Fermi level at 2.054 states/eV per cell. Its magnetization is 0.156 μB per atom.

Record 9
DFT (PBEsol) results for an optimized crystal structure of HfSc2AsF.

a b c (Å): 5.0182 5.0182 4.9526
angles (deg): 90.00 90.00 90.00
Fractional coordinates of all 5 atoms:
Hf 0.0000 0.0000 0.0000
Sc 0.0000 0.5000 0.5000
Sc 0.5000 0.0000 0.5000
As 0.0000 0.0000 0.5000
F 0.5000 0.5000 0.0000

Its crystal system is tetragonal. The formation energy from raw total energies comes out at -0.21 eV per formula unit. The calculation puts the density of states at the Fermi level at 8.562 states/eV per cell. Its magnetization is 0.169 μB per atom.

Record 10
DFT (PBEsol) results for an optimized crystal structure of Hf2ZrAsF.

a b c (Å): 5.1412 5.1412 4.0343
angles (deg): 90.00 90.00 90.00
Fractional coordinates of all 5 atoms:
Hf 0.0000 0.5000 0.0000
Hf 0.5000 0.0000 0.0000
Zr 0.0000 0.0000 0.0000
As 0.5000 0.5000 0.5000
F 0.0000 0.0000 0.5000

Its crystal system is tetragonal. The formation energy from raw total energies comes out at 0.54 eV per formula unit. The calculation puts the density of states at the Fermi level at 5.922 states/eV per cell. Its magnetization is 0.000 μB per atom.

Record 11
DFT (PBEsol) results for an optimized crystal structure of Hg3As2F12.

a b c (Å): 5.7673 8.4909 11.4685
angles (deg): 90.00 93.07 90.00
Fractional coordinates of all 34 atoms:
Hg 0.0000 0.0000 0.0000
Hg 0.0000 0.5000 0.5000
Hg 0.2422 0.2428 0.0692
Hg 0.2422 0.2572 0.5692
Hg 0.7578 0.7428 0.4308
Hg 0.7578 0.7572 0.9308
As 0.3036 0.6493 0.1696
As 0.3036 0.8507 0.6696
As 0.6964 0.1493 0.3304
As 0.6964 0.3507 0.8304
F 0.0390 0.5577 0.1287
F 0.0390 0.9423 0.6287
F 0.1612 0.6798 0.7116
F 0.1612 0.8202 0.2116
F 0.2981 0.5722 0.3116
F 0.2981 0.9278 0.8116
F 0.3206 0.7261 0.0267
F 0.3206 0.7739 0.5267
F 0.4203 0.2298 0.2953
F 0.4203 0.2702 0.7953
F 0.4475 0.0261 0.6230
F 0.4475 0.4739 0.1230
F 0.5525 0.5261 0.8770
F 0.5525 0.9739 0.3770
F 0.5797 0.7298 0.2047
F 0.5797 0.7702 0.7047
F 0.6794 0.2261 0.4733
F 0.6794 0.2739 0.9733
F 0.7019 0.0722 0.1884
F 0.7019 0.4278 0.6884
F 0.8388 0.1798 0.7884
F 0.8388 0.3202 0.2884
F 0.9610 0.0577 0.3713
F 0.9610 0.4423 0.8713

Its crystal system is monoclinic. The formation energy from raw total energies comes out at -31.21 eV per formula unit. The calculation puts the density of states at the Fermi level at 0.000 states/eV per cell. Its magnetization is 0.000 μB per atom.

Record 12
DFT (PBEsol) results for an optimized crystal structure of HgAs2F.

a b c (Å): 10.0900 10.0900 10.0900
angles (deg): 157.96 157.96 31.37
Fractional coordinates of all 8 atoms:
Hg 0.0000 0.0000 0.0000
Hg 0.7500 0.2500 0.5000
As 0.1616 0.6250 0.0366
As 0.3750 0.4116 0.5366
As 0.5884 0.1250 0.9634
As 0.8750 0.8384 0.4634
F 0.2500 0.7500 0.5000
F 0.5000 0.5000 0.0000

Its crystal system is tetragonal. The formation energy from raw total energies comes out at -1.20 eV per formula unit. The calculation puts the density of states at the Fermi level at 4.011 states/eV per cell. Its magnetization is 0.000 μB per atom.